VASP calculation (PBE with a Hubbard U) on a geometry-optimized MnB12H10O24 structure.

```
94
Lattice="-2.175 -0.651 -8.398 -1.985 -8.542 1.177 -11.427 0.557 2.916" Properties=species:S:1:pos:R:3 pbc="T T T"
H -3.977 -0.119 -2.298
H -10.652 -2.299 0.387
H -11.140 -4.403 -4.617
H -9.968 -5.391 -0.412
H -5.619 -3.245 -3.893
H -10.799 -3.794 -2.275
H -11.609 -8.518 -2.007
H -4.935 -6.338 -4.692
H -3.123 -0.371 -0.023
H -7.171 -7.684 -5.465
H -4.127 -8.232 -3.618
H -4.446 -4.233 0.311
H -11.760 -4.468 2.573
H -4.086 -2.110 -5.834
H -12.463 -8.266 -4.283
H -8.416 -0.953 1.159
H -11.459 -0.405 -0.687
H -4.788 -4.843 -2.030
H -3.827 -4.168 -6.878
H -11.501 -6.527 1.529
O -2.487 -0.145 -0.750
O -8.335 -6.699 -2.585
O -3.400 -3.290 -6.690
O -13.099 -8.491 -3.555
O -5.564 -5.661 -5.124
O -2.661 -7.235 -0.091
O -6.300 -5.436 -2.833
O -2.479 -1.227 -3.864
O -9.375 -7.201 2.607
O -11.019 -8.271 -1.263
O -10.023 -2.976 0.819
O -11.698 -4.098 -2.564
O -9.105 -5.068 0.044
O -10.992 -4.289 -5.580
O -8.793 -7.474 0.267
O -4.594 -4.347 1.274
O -7.948 -5.482 -4.612
O -9.910 -6.900 -4.372
O -4.567 -0.365 -3.042
O -9.289 -1.289 2.372
O -7.014 -6.111 -0.677
O -4.282 -2.770 -3.316
O -12.926 -1.401 -4.215
O -7.893 -0.731 0.302
O -7.251 -1.937 -1.720
O -11.134 -7.282 0.950
O -7.694 -7.906 -4.607
O -12.186 -5.346 2.385
O -8.065 -2.644 -5.961
O -11.074 -2.826 2.992
O -4.453 -1.354 -5.255
O -6.482 -3.569 -4.349
O -8.572 -2.526 -3.629
O -6.297 -7.347 -6.677
O -3.878 -7.407 -4.113
O -7.638 -3.155 0.306
O -11.305 -5.867 -0.989
O -11.709 -1.229 -0.192
O -5.677 -1.737 0.066
O -13.108 -7.409 -0.441
O -7.522 -5.992 1.656
O -4.513 -5.810 -7.297
O -3.888 -4.538 -1.741
O -2.109 -3.096 -2.379
O -6.794 -1.162 -4.573
O -13.478 -5.541 -1.926
O -9.286 -3.201 -1.473
O -6.212 -1.435 -6.912
B -9.729 -7.784 1.320
B -12.148 -5.164 -1.829
B -5.788 -5.953 -6.607
B -5.857 -0.853 -5.625
B -11.824 -1.093 -4.995
B -8.526 -6.697 -4.042
B -1.934 -6.082 0.167
B -5.199 -1.511 1.323
B -10.388 -7.126 -5.629
B -1.640 -2.020 -3.118
B -8.376 -2.549 -2.279
B -8.954 -3.578 -0.106
B -3.923 -1.421 -3.824
B -7.529 -2.425 -4.610
B -13.946 -6.617 -1.187
B -6.632 -5.059 -4.199
B -3.763 -7.544 0.690
B -7.060 -1.939 -0.263
B -13.652 -2.555 -4.472
B -9.798 -2.683 2.301
B -3.438 -3.473 -2.477
B -11.664 -7.216 -0.481
B -7.211 -6.087 -2.026
B -8.058 -6.212 0.305
Mn -6.706 -3.993 2.046
Mn -6.801 -0.047 -2.741
```

Summary:
Calculated volume = 889.6 Å³ per cell
Fermi-level density of states = 0.00 states/eV/atom
VASP energy = -7.08 eV per atom